(1)
SmTmHf | OQMD via LeMat-Bulk | GGA-PBE | relaxed; total moment = 0.287 μB per atom; formation energy = 0.857 eV/atom
1.0
-3.9270 -2.5928 2.1997
-4.1612 -1.2979 -2.8253
-0.8483 -4.9721 -1.2417
Hf Sm Tm
1 1 1
Direct
0.0000 0.0000 0.0000
0.2500 0.2500 0.2500
0.7500 0.7500 0.7500

(2)
CsHfSb | OQMD via LeMat-Bulk | GGA-PBE | relaxed; E = -4.264 eV/atom; total moment = 0.535 μB per atom
1.0
-4.3626 -2.3161 1.5889
-4.1909 2.8480 1.1164
-4.1433 -0.1477 -3.1197
Cs Hf Sb
1 1 1
Direct
0.2500 0.2500 0.2500
0.0000 0.0000 0.0000
0.7500 0.7500 0.7500

(3)
TbGd2Ga3AgPd2 | OQMD via LeMat-Bulk | GGA-PBE | relaxed; E = -4.763 eV/atom; total moment = 0.001 μB per atom
1.0
-1.8543 -0.4409 3.3154
5.7438 3.1356 3.6294
-5.5849 4.2751 -2.5551
Ag Ga Gd Pd Tb
1 3 2 2 1
Direct
0.0000 0.0006 0.0006
0.5000 0.2663 0.0005
0.5000 0.0005 0.2663
0.5000 0.7334 0.7334
0.0000 0.9998 0.5911
0.0000 0.5911 0.9998
0.5000 0.6658 0.3336
0.5000 0.3336 0.6658
0.0000 0.4087 0.4087

(4)
Tl3PdCl6 | OQMD via LeMat-Bulk | GGA-PBE | relaxed; E = -3.091 eV/atom
1.0
6.6276 1.9519 2.6636
0.8974 6.6090 3.2164
1.0662 0.4438 7.3141
Cl Pd Tl
6 1 3
Direct
0.7663 0.2337 0.2337
0.2337 0.7663 0.2337
0.7663 0.7663 0.2337
0.7663 0.2337 0.7663
0.2337 0.7663 0.7663
0.2337 0.2337 0.7663
0.0000 0.0000 0.0000
0.2500 0.2500 0.2500
0.5000 0.5000 0.5000
0.7500 0.7500 0.7500

(5)
Cs2LiAgCl4 | OQMD via LeMat-Bulk | GGA-PBE | relaxed; E = -3.288 eV/atom
1.0
5.0019 0.0000 0.0000
0.0000 5.0019 0.0000
0.0000 0.0000 9.7941
Ag Cl Cs Li
1 4 2 1
Direct
0.0000 0.0000 0.0928
0.0000 0.0000 0.3517
0.5000 0.5000 0.6672
0.5000 0.0000 0.9836
0.0000 0.5000 0.9836
0.5000 0.5000 0.3100
0.0000 0.0000 0.7038
0.5000 0.5000 0.9073

(6)
Pr2Sc2CBr4Cl | OQMD via LeMat-Bulk | GGA-PBE | relaxed; E = -5.453 eV/atom; total moment = 0.000 μB per atom
1.0
-1.2877 5.7507 -7.4128
-4.6266 6.0248 -5.6547
3.3574 5.0942 5.5820
Br C Cl Pr Sc
4 1 1 2 2
Direct
0.8352 0.8352 0.1926
0.1673 0.1673 0.3586
0.8327 0.8327 0.6414
0.1648 0.1648 0.8074
0.5000 0.5000 0.5000
0.5000 0.5000 0.0000
0.0008 0.0008 0.2852
0.9992 0.9992 0.7148
0.3757 0.3757 0.4368
0.6243 0.6243 0.5632